# RbSrReMo2

A geometry-optimized RbSrReMo2 structure (GGA-PBE, Alexandria).

Cell lengths 4.877, 4.877, 6.029 Å; angles 90.00, 90.00, 90.00 degrees
Fractional coordinates of all 5 atoms:
Rb1 0.000 0.000 0.000
Sr1 0.500 0.500 0.000
Re1 0.500 0.500 0.500
Mo1 0.000 0.500 0.500
Mo2 0.500 0.000 0.500

The total energy is -29.9 eV for the cell shown. For the energy of formation from the pure elements, the calculation gives 1.365 eV/atom. The space group is P4/mmm (123).

# Rb2YReMo

A geometry-optimized Rb2YReMo structure (GGA-PBE, Alexandria).

Cell lengths 6.951, 6.951, 4.962 Å; angles 90.00, 90.00, 90.00 degrees
Fractional coordinates of all 5 atoms:
Rb1 0.000 0.500 0.000
Rb2 0.500 0.000 0.000
Y1 0.000 0.000 0.000
Re1 0.500 0.500 0.500
Mo1 0.000 0.000 0.500

The total energy is -19.0 eV for the cell shown. For the energy of formation from the pure elements, the calculation gives 2.544 eV/atom. The space group is P4/mmm (123).

# Rb3MoRh

A geometry-optimized Rb3MoRh structure (GGA-PBE, Alexandria).

Cell lengths 6.238, 6.238, 6.238 Å; angles 90.00, 90.00, 90.00 degrees
Fractional coordinates of all 5 atoms:
Rb1 0.000 0.000 0.500
Rb2 0.000 0.500 0.000
Rb3 0.500 0.000 0.000
Mo1 0.500 0.500 0.500
Rh1 0.000 0.000 0.000

The total energy is -13.8 eV for the cell shown. For the energy of formation from the pure elements, the calculation gives 1.463 eV/atom. The space group is Pm-3m (221).